VASP calculation (PBEsol) on BPd2S after structural relaxation.

The calculated total energy is -5.723 eV per atom. As for the uncorrected formation energy: 0.1060 eV per atom. For the theoretical density, the calculation gives 6.78 g cm⁻³.

The structure belongs to space group I-42d (No. 122); the cell edges are 4.728, 4.728 and 11.207 Å and the angles 90.00°, 90.00° and 90.00°. Symmetry generates all atoms from B at (0.000, 0.000, 0.000), Pd at (0.189, 0.250, 0.125) and S at (0.000, 0.000, 0.500).